[1]
Material: TlCo3Sb5
Method: DFT, PBE
State: relaxed

Lattice parameters (Å, degrees): 5.3096 5.3096 8.1710 90.00 90.00 120.00
Positions (direct):
Co (0.5000, 0.0000, 0.5000)
Co (0.0000, 0.5000, 0.5000)
Co (0.5000, 0.5000, 0.5000)
Sb (0.6667, 0.3333, 0.2390)
Sb (0.3333, 0.6667, 0.2390)
Sb (0.0000, 0.0000, 0.5000)
Sb (0.6667, 0.3333, 0.7610)
Sb (0.3333, 0.6667, 0.7610)
Tl (0.0000, 0.0000, 0.0000)

Symmetry: No. 191
Spin magnetization in Bohr magnetons per cell: 1.07
VASP energy in eV per atom: -4.93

[2]
Material: ErTmAl2Fe4
Method: DFT, PBE
State: relaxed

Lattice parameters (Å, degrees): 3.9276 4.9149 6.7757 90.00 90.00 90.00
Positions (direct):
Al (0.5000, 0.0000, 0.3347)
Al (0.5000, 0.5000, 0.6650)
Er (0.0000, 0.0000, 0.6904)
Fe (0.5000, 0.2502, 0.0002)
Fe (0.5000, 0.7498, 0.0002)
Fe (0.0000, 0.0000, 0.0979)
Fe (0.0000, 0.5000, 0.9028)
Tm (0.0000, 0.5000, 0.3088)

Symmetry: No. 25
Spin magnetization in Bohr magnetons per cell: 7.06
VASP energy in eV per atom: -6.52

[3]
Material: SmErGa2
Method: DFT, PBE
State: relaxed

Lattice parameters (Å, degrees): 4.0731 5.9001 5.9001 43.45 90.00 90.00
Positions (direct):
Er (0.5000, 0.3621, 0.3621)
Ga (0.5000, 0.0741, 0.0741)
Ga (0.0000, 0.9228, 0.9228)
Sm (0.0000, 0.6409, 0.6409)

Symmetry: No. 38
Spin magnetization in Bohr magnetons per cell: 0.05
VASP energy in eV per atom: -4.45

[4]
Material: TlCdTe
Method: DFT, PBE
State: relaxed

Lattice parameters (Å, degrees): 7.7844 4.7155 10.0228 90.00 90.00 90.00
Positions (direct):
Cd (0.0730, 0.7500, 0.1967)
Cd (0.5730, 0.7500, 0.3033)
Cd (0.4270, 0.2500, 0.6967)
Cd (0.9270, 0.2500, 0.8033)
Te (0.8297, 0.2500, 0.1202)
Te (0.3297, 0.2500, 0.3798)
Te (0.6703, 0.7500, 0.6202)
Te (0.1703, 0.7500, 0.8798)
Tl (0.3647, 0.2500, 0.0572)
Tl (0.8647, 0.2500, 0.4429)
Tl (0.1353, 0.7500, 0.5572)
Tl (0.6353, 0.7500, 0.9429)

Symmetry: No. 62
Polymorph energy (0 for the lowest one) in kJ/mol of atoms: 8.9

[5]
Material: ZnH2
Method: DFT, PBE
State: relaxed

Lattice parameters (Å, degrees): 3.9572 3.9572 3.9572 60.00 60.00 60.00
Positions (direct):
H (0.1250, 0.1250, 0.1250)
H (0.6250, 0.1250, 0.1250)
H (0.1250, 0.6250, 0.1250)
H (0.1250, 0.1250, 0.6250)
Zn (0.5000, 0.5000, 0.5000)
Zn (0.7500, 0.7500, 0.7500)

Symmetry: No. 227
VASP energy in eV per atom: -1.76

[6]
Material: PrGePO
Method: DFT, PBE
State: relaxed

Lattice parameters (Å, degrees): 4.2167 4.2167 8.8659 90.00 90.00 90.00
Positions (direct):
Ge (0.0000, 0.0000, 0.5000)
Ge (0.5000, 0.5000, 0.5000)
O (0.0000, 0.0000, 0.0000)
O (0.5000, 0.5000, 0.0000)
P (0.5000, 0.0000, 0.3250)
P (0.0000, 0.5000, 0.6750)
Pr (0.0000, 0.5000, 0.1268)
Pr (0.5000, 0.0000, 0.8732)

Symmetry: No. 129
Spin magnetization in Bohr magnetons per cell: 0.00
Polymorph energy (0 for the lowest one) in kJ/mol of atoms: 0.0

[7]
Material: TbYPb
Method: DFT, PBE
State: relaxed

Lattice parameters (Å, degrees): 5.1816 5.1816 5.1816 60.00 60.00 60.00
Positions (direct):
Pb (0.0000, 0.0000, 0.0000)
Tb (0.2500, 0.2500, 0.2500)
Y (0.7500, 0.7500, 0.7500)

Symmetry: No. 216
Spin magnetization in Bohr magnetons per cell: 0.06
VASP energy in eV per atom: -5.16

[8]
Material: Ho4CIBr2Cl2
Method: DFT, PBE
State: relaxed

Lattice parameters (Å, degrees): 8.9639 8.9639 8.3924 103.34 103.34 24.53
Positions (direct):
Br (0.8290, 0.8290, 0.1595)
Br (0.1710, 0.1710, 0.8405)
C (0.5000, 0.5000, 0.0000)
Cl (0.1607, 0.1607, 0.3102)
Cl (0.8393, 0.8393, 0.6898)
Ho (0.6396, 0.6396, 0.0748)
Ho (0.0000, 0.0000, 0.1917)
Ho (0.0000, 0.0000, 0.8083)
Ho (0.3604, 0.3604, 0.9252)
I (0.5000, 0.5000, 0.5000)

Symmetry: No. 12
Spin magnetization in Bohr magnetons per cell: 0.22
VASP energy in eV per atom: -5.07

What did the seventh record say?
Material: TbYPb
Method: DFT, PBE
State: relaxed

Lattice parameters (Å, degrees): 5.1816 5.1816 5.1816 60.00 60.00 60.00
Positions (direct):
Pb (0.0000, 0.0000, 0.0000)
Tb (0.2500, 0.2500, 0.2500)
Y (0.7500, 0.7500, 0.7500)

Symmetry: No. 216
Spin magnetization in Bohr magnetons per cell: 0.06
VASP energy in eV per atom: -5.16

- Number 4 is which compound?
  TlCdTe